(1)
Entry from Alexandria via LeMat-Bulk: an optimized crystal structure of K5MgSb2 (GGA-PBE).

Output
energy relative to the elements, uncorrected = -325 meV per atom

abc: 10.5883 10.5883 10.5883
angles: 33.86 33.86 33.86
Element x y z (fractional)
K1 0.0000 0.0000 0.0000
K2 0.1235 0.1235 0.1235
K3 0.2795 0.2795 0.2795
K4 0.7205 0.7205 0.7205
K5 0.8765 0.8765 0.8765
Mg1 0.5000 0.5000 0.5000
Sb1 0.4065 0.4065 0.4065
Sb2 0.5935 0.5935 0.5935

(2)
Entry from Alexandria via LeMat-Bulk: an optimized crystal structure of Ac2PrCo6 (GGA-PBE).

Output
energy of formation from the pure elements = 0 meV per atom

abc: 6.8900 6.8900 4.4041
angles: 90.00 90.00 120.00
Element x y z (fractional)
Ac1 0.3333 0.6667 0.0000
Ac2 0.6667 0.3333 0.0000
Pr1 0.0000 0.0000 0.0000
Co1 0.0000 0.3311 0.5000
Co2 0.0000 0.6689 0.5000
Co3 0.3311 0.0000 0.5000
Co4 0.3311 0.3311 0.5000
Co5 0.6689 0.0000 0.5000
Co6 0.6689 0.6689 0.5000

(3)
Entry from Alexandria via LeMat-Bulk: an optimized crystal structure of MnHgSb4 (GGA-PBE).

Output
energy relative to the elements, uncorrected = 485 meV per atom

abc: 6.2425 6.2425 6.2425
angles: 60.00 60.00 60.00
Element x y z (fractional)
Mn1 0.0000 0.0000 0.0000
Hg1 0.2500 0.2500 0.2500
Sb1 0.1258 0.6247 0.6247
Sb2 0.6247 0.1258 0.6247
Sb3 0.6247 0.6247 0.1258
Sb4 0.6247 0.6247 0.6247

(4)
Entry from Alexandria via LeMat-Bulk: an optimized crystal structure of Tb5Pm12Tm2 (GGA-PBE).

Output
energy above the lowest structure with this stoichiometry = 0.0137 eV per atom
energy of formation from the pure elements = 131 meV per atom

abc: 9.2795 9.2795 8.0213
angles: 92.80 92.80 69.28
Element x y z (fractional)
Tb1 0.0000 0.0000 0.0000
Tb2 0.2425 0.2425 0.9846
Tb3 0.3443 0.3443 0.4094
Tb4 0.6557 0.6557 0.5906
Tb5 0.7575 0.7575 0.0154
Pm1 0.0409 0.5854 0.7072
Pm2 0.1329 0.1329 0.6062
Pm3 0.1677 0.6202 0.1142
Pm4 0.3798 0.8323 0.8858
Pm5 0.4146 0.9591 0.2928
Pm6 0.4468 0.4468 0.7899
Pm7 0.5532 0.5532 0.2101
Pm8 0.5854 0.0409 0.7072
Pm9 0.6202 0.1677 0.1142
Pm10 0.8323 0.3798 0.8858
Pm11 0.8671 0.8671 0.3938
Pm12 0.9591 0.4146 0.2928
Tm1 0.2672 0.7328 0.5000
Tm2 0.7328 0.2672 0.5000

(5)
Entry from Alexandria via LeMat-Bulk: an optimized crystal structure of LaPm6Er8 (GGA-PBE).

Output
energy of formation from the pure elements = 130 meV per atom

abc: 8.7094 8.7094 8.7094
angles: 62.68 62.68 62.68
Element x y z (fractional)
La1 0.0000 0.0000 0.0000
Pm1 0.1034 0.5359 0.2291
Pm2 0.2291 0.1034 0.5359
Pm3 0.4641 0.7709 0.8966
Pm4 0.5359 0.2291 0.1034
Pm5 0.7709 0.8966 0.4641
Pm6 0.8966 0.4641 0.7709
Er1 0.1123 0.7154 0.7482
Er2 0.2518 0.8877 0.2846
Er3 0.2846 0.2518 0.8877
Er4 0.4233 0.4233 0.4233
Er5 0.5767 0.5767 0.5767
Er6 0.7154 0.7482 0.1123
Er7 0.7482 0.1123 0.7154
Er8 0.8877 0.2846 0.2518

(6)
Entry from Alexandria via LeMat-Bulk: an optimized crystal structure of KBaIn2 (GGA-PBE).

Output
energy above the lowest structure with this stoichiometry = 0.0574 eV per atom
energy of formation from the pure elements = -168 meV per atom

abc: 6.0284 6.0284 4.2228
angles: 90.00 90.00 90.00
Element x y z (fractional)
K1 0.0000 0.0000 0.0000
Ba1 0.5000 0.5000 0.0000
In1 0.0000 0.5000 0.5000
In2 0.5000 0.0000 0.5000

(7)
Entry from Alexandria via LeMat-Bulk: an optimized crystal structure of CsVOs2C (GGA-PBE).

Output
energy of formation from the pure elements = 4771 meV per atom

abc: 4.9284 4.9284 4.7546
angles: 90.00 90.00 90.00
Element x y z (fractional)
Cs1 0.0000 0.0000 0.0000
V1 0.0000 0.0000 0.5000
Os1 0.0000 0.5000 0.0000
Os2 0.5000 0.0000 0.0000
C1 0.5000 0.5000 0.5000

(8)
Entry from Alexandria via LeMat-Bulk: an optimized crystal structure of K2RbHfBr6 (GGA-PBE).

Output
energy relative to the elements, uncorrected = -1486 meV per atom

abc: 17.2240 17.2240 17.2240
angles: 25.94 25.94 25.94
Element x y z (fractional)
K1 0.1486 0.1486 0.1486
K2 0.3153 0.3153 0.3153
K3 0.6847 0.6847 0.6847
K4 0.8514 0.8514 0.8514
Rb1 0.4160 0.4160 0.4160
Rb2 0.5840 0.5840 0.5840
Hf1 0.0000 0.0000 0.0000
Hf2 0.5000 0.5000 0.5000
Br1 0.1410 0.6327 0.6327
Br2 0.1937 0.1937 0.7067
Br3 0.1937 0.7067 0.1937
Br4 0.2933 0.8063 0.8063
Br5 0.3673 0.3673 0.8590
Br6 0.3673 0.8590 0.3673
Br7 0.6327 0.1410 0.6327
Br8 0.6327 0.6327 0.1410
Br9 0.7067 0.1937 0.1937
Br10 0.8063 0.2933 0.8063
Br11 0.8063 0.8063 0.2933
Br12 0.8590 0.3673 0.3673

(9)
Entry from Alexandria via LeMat-Bulk: an optimized crystal structure of Rb2CuSbCl6 (GGA-PBE).

Output
energy above the lowest structure with this stoichiometry = 0.0588 eV per atom
energy relative to the elements, uncorrected = -1166 meV per atom

abc: 7.2460 7.2460 7.2460
angles: 113.19 113.19 102.27
Element x y z (fractional)
Rb1 0.2500 0.7500 0.5000
Rb2 0.7500 0.2500 0.5000
Cu1 0.0000 0.0000 0.0000
Sb1 0.5000 0.5000 0.0000
Cl1 0.2264 0.2264 0.0000
Cl2 0.2623 0.2623 0.5247
Cl3 0.2623 0.7377 0.0000
Cl4 0.7377 0.2623 0.0000
Cl5 0.7377 0.7377 0.4753
Cl6 0.7736 0.7736 0.0000

(10)
Entry from Alexandria via LeMat-Bulk: an optimized crystal structure of KHg2PbBr8 (GGA-PBE).

Output
energy relative to the elements, uncorrected = -670 meV per atom

abc: 7.0920 7.3112 9.2642
angles: 81.22 74.07 88.00
Element x y z (fractional)
K1 0.0000 0.0000 0.0000
Hg1 0.4659 0.4932 0.2361
Hg2 0.5341 0.5068 0.7639
Pb1 0.0000 0.0000 0.5000
Br1 0.1998 0.8033 0.7017
Br2 0.2467 0.3416 0.4873
Br3 0.2598 0.3893 0.9960
Br4 0.2700 0.8616 0.2430
Br5 0.7300 0.1384 0.7570
Br6 0.7402 0.6107 0.0040
Br7 0.7533 0.6584 0.5127
Br8 0.8002 0.1967 0.2983

(11)
Entry from Alexandria via LeMat-Bulk: an optimized crystal structure of Tc6Ru7 (GGA-PBE).

Output
energy of formation from the pure elements = 238 meV per atom

abc: 9.2765 9.2765 9.2765
angles: 31.31 31.31 31.31
Element x y z (fractional)
Tc1 0.0461 0.0461 0.0461
Tc2 0.1474 0.1474 0.1474
Tc3 0.3381 0.3381 0.3381
Tc4 0.6619 0.6619 0.6619
Tc5 0.8526 0.8526 0.8526
Tc6 0.9539 0.9539 0.9539
Ru1 0.0821 0.5896 0.5896
Ru2 0.4104 0.4104 0.9179
Ru3 0.4104 0.9179 0.4104
Ru4 0.5000 0.5000 0.5000
Ru5 0.5896 0.0821 0.5896
Ru6 0.5896 0.5896 0.0821
Ru7 0.9179 0.4104 0.4104

(12)
Entry from Alexandria via LeMat-Bulk: an optimized crystal structure of Nb2OsRu (GGA-PBE).

Output
energy of formation from the pure elements = 1274 meV per atom

abc: 7.0004 7.0004 7.0004
angles: 130.90 130.90 71.97
Element x y z (fractional)
Nb1 0.1220 0.6250 0.9970
Nb2 0.3750 0.3720 0.4970
Nb3 0.6280 0.1250 0.0030
Nb4 0.8750 0.8780 0.5030
Os1 0.2500 0.7500 0.5000
Os2 0.5000 0.5000 0.0000
Ru1 0.0000 0.0000 0.0000
Ru2 0.7500 0.2500 0.5000

| no. | VASP energy (eV/atom) | calculated density (g/cm3) |
| --- | --- | --- |
| 1 | -2.24 | 2.343 |
| 2 | -6.18 | 8.699 |
| 3 | -3.84 | 7.168 |
| 4 | -4.56 | 7.396 |
| 5 | -4.53 | 7.873 |
| 6 | -2.29 | 4.394 |
| 7 | -3.56 | 8.287 |
| 8 | -3.80 | 3.168 |
| 9 | -3.29 | 3.264 |
| 10 | -2.24 | 4.681 |
| 11 | -9.54 | 11.240 |
| 12 | -8.89 | 8.267 |